1.
VASP calculation (GGA-PBE) on a relaxed structure of CeGa3CoPt.

Summary:
Energy of formation   -0.52 eV per atom
Total magnetic moment   0.013 μB per atom
Crystal system   orthorhombic

abc: 6.057 11.862 5.903
angles: 90.00 90.00 90.00
Space group Cmcm (No. 63)
One atom of each set of equivalent atoms:
Ce (0.000, 0.234, 0.250) x4
Ga (0.000, 0.363, 0.750) x4
Ga (0.217, 0.000, 0.000) x8
Co (0.000, 0.416, 0.250) x4
Pt (0.000, 0.151, 0.750) x4

=====

2.
VASP calculation (GGA-PBE) on a relaxed structure of CePuGaCo.

Summary:
Energy of formation   -0.22 eV per atom
Total magnetic moment   1.500 μB per atom
Crystal system   cubic

abc: 6.704 6.704 6.704
angles: 90.00 90.00 90.00
Space group F-43m (No. 216)
One atom of each set of equivalent atoms:
Ce (0.000, 0.000, 0.000) x4
Pu (0.250, 0.250, 0.750) x4
Ga (0.250, 0.250, 0.250) x4
Co (0.000, 0.000, 0.500) x4

=====

3.
VASP calculation (GGA-PBE) on a relaxed structure of Ce2Ga6CoRh.

Summary:
Energy of formation   -0.42 eV per atom
Total magnetic moment   0.357 μB per atom
Crystal system   cubic

abc: 9.313 9.313 9.313
angles: 90.00 90.00 90.00
Space group Fm-3m (No. 225)
One atom of each set of equivalent atoms:
Ce (0.250, 0.250, 0.250) x8
Ga (0.000, 0.000, 0.243) x24
Co (0.000, 0.000, 0.000) x4
Rh (0.000, 0.000, 0.500) x4

=====

4.
VASP calculation (GGA-PBE) on a relaxed structure of CeGa3CoRh.

Summary:
Energy of formation   -0.46 eV per atom
Total magnetic moment   0.000 μB per atom
Crystal system   orthorhombic

abc: 6.087 12.005 5.671
angles: 90.00 90.00 90.00
Space group Cmcm (No. 63)
One atom of each set of equivalent atoms:
Ce (0.000, 0.208, 0.250) x4
Ga (0.000, 0.344, 0.750) x4
Ga (0.250, 0.000, 0.000) x8
Co (0.000, 0.386, 0.250) x4
Rh (0.000, 0.126, 0.750) x4

=====

5.
VASP calculation (GGA-PBE) on a relaxed structure of CeGaCoRu.

Summary:
Energy of formation   -0.31 eV per atom
Total magnetic moment   0.000 μB per atom
Crystal system   cubic

abc: 6.398 6.398 6.398
angles: 90.00 90.00 90.00
Space group F-43m (No. 216)
One atom of each set of equivalent atoms:
Ce (0.000, 0.000, 0.000) x4
Ga (0.000, 0.000, 0.500) x4
Co (0.250, 0.250, 0.750) x4
Ru (0.250, 0.250, 0.250) x4

=====

6.
VASP calculation (GGA-PBE) on a relaxed structure of CeScGaCo.

Summary:
Energy of formation   -0.28 eV per atom
Total magnetic moment   0.130 μB per atom
Crystal system   cubic

abc: 6.806 6.806 6.806
angles: 90.00 90.00 90.00
Space group F-43m (No. 216)
One atom of each set of equivalent atoms:
Ce (0.000, 0.000, 0.000) x4
Sc (0.000, 0.000, 0.500) x4
Ga (0.250, 0.250, 0.250) x4
Co (0.250, 0.250, 0.750) x4

=====

7.
VASP calculation (GGA-PBE) on a relaxed structure of Ce2GaCo5Si2.

Summary:
Raw formation energy   -0.343 eV/atom
Total magnetic moment   0.068 μB per atom
Crystal system   tetragonal

abc: 9.505 9.505 3.294
angles: 90.00 90.00 90.00
Space group P4/mbm (No. 127)
One atom of each set of equivalent atoms:
Ce (0.181, 0.319, 0.000) x4
Ga (0.000, 0.000, 0.000) x2
Co (0.000, 0.500, 0.500) x2
Co (0.064, 0.780, 0.500) x8
Si (0.116, 0.616, 0.000) x4

=====

8.
VASP calculation (GGA-PBE) on a relaxed structure of CeGa2Co2Si.

Summary:
Raw formation energy   -0.325 eV/atom
Total magnetic moment   0.370 μB per atom
Crystal system   tetragonal

abc: 4.259 4.259 5.618
angles: 90.00 90.00 90.00
Space group P4/mmm (No. 123)
One atom of each set of equivalent atoms:
Ce (0.000, 0.000, 0.000) x1
Ga (0.500, 0.500, 0.243) x2
Co (0.000, 0.500, 0.500) x2
Si (0.000, 0.000, 0.500) x1

=====

Question: total magnetic moment of number 4 (CeGa3CoRh)?
Answer: 0.000 μB per atom